This record from the Alexandria database describes a relaxed Na3Ga2As3 crystal. The functional is PBE-GGA.

Summary:
Formation energy from the elements ... -0.3822 eV per atom

Lattice parameters (Å, degrees): 4.120 13.123 13.933 90.00 90.00 90.00
Space group Cmcm (No. 63)
Symmetry-distinct sites (fractional):
Na (0.000, 0.049, 0.117)
Na (0.000, 0.310, 0.250)
Ga (0.000, 0.247, 0.593)
As (0.000, 0.350, 0.750)
As (0.000, 0.366, 0.053)